(1)
4
Lattice="0.0000 3.5903 3.5903 3.5903 0.0000 3.5903 3.5903 3.5903 0.0000" Properties=species:S:1:pos:R:3 comment="NbSn2Hg (PBE, relaxed)" space_group="No. 216" pbc="T T T"
Sn 0.0000 0.0000 0.0000
Hg 1.7951 1.7951 1.7951
Nb 3.5903 3.5903 3.5903
Sn 5.3854 5.3854 5.3854

(2)
4
Lattice="0.0774 -2.0597 4.5713 -4.2690 -0.5593 2.5706 -1.9120 -4.5795 0.7193" Properties=species:S:1:pos:R:3 comment="NbSnHg2 (PBE, relaxed)" space_group="No. 216" pbc="T T T"
Nb -1.5259 -1.7996 1.9653
Hg -4.5777 -5.3989 5.8958
Hg 0.0000 0.0000 0.0000
Sn -3.0518 -3.5993 3.9306

Number 1: total DFT energy (no corrections) -4.09 eV per atom. Number 2: total DFT energy (no corrections) -3.16 eV per atom.